# 1
CeTl2Au | GGA-PBE | optimized geometry

Geometry as CIF:
```
data_CeTl2Au
_cell_length_a 3.3929
_cell_length_b 3.3929
_cell_length_c 33.4327
_cell_angle_alpha 90.00
_cell_angle_beta 90.00
_cell_angle_gamma 120.00
_symmetry_space_group_name_H-M 'P 1'
_symmetry_Int_Tables_number 1
loop_
_symmetry_equiv_pos_as_xyz
'x,y,z'
loop_
_atom_site_label
_atom_site_fract_x
_atom_site_fract_y
_atom_site_fract_z
Ce1 0.0000 0.0000 0.0000
Ce2 0.3333 0.6667 0.6667
Ce3 0.6667 0.3333 0.3333
Tl1 0.0000 0.0000 0.0974
Tl2 0.0000 0.0000 0.9026
Tl3 0.3333 0.6667 0.5693
Tl4 0.3333 0.6667 0.7640
Tl5 0.6667 0.3333 0.2360
Tl6 0.6667 0.3333 0.4307
Au1 0.0000 0.0000 0.5000
Au2 0.3333 0.6667 0.1667
Au3 0.6667 0.3333 0.8333
```

Summary:
- volume (Å³/f.u.) = 111.1
- energy relative to the elements (eV/atom) = 0.15
- SG = R-3m (166)
- calculated total energy (eV per cell) = -40.04
- M_tot (μB per formula unit) = 1.2



# 2
Sr2LiCa | GGA-PBE | optimized geometry

Geometry as CIF:
```
data_Sr2LiCa
_cell_length_a 4.2199
_cell_length_b 14.9503
_cell_length_c 11.0288
_cell_angle_alpha 90.00
_cell_angle_beta 90.00
_cell_angle_gamma 90.00
_symmetry_space_group_name_H-M 'P 1'
_symmetry_Int_Tables_number 1
loop_
_symmetry_equiv_pos_as_xyz
'x,y,z'
loop_
_atom_site_label
_atom_site_fract_x
_atom_site_fract_y
_atom_site_fract_z
Sr1 0.0000 0.1332 0.0561
Sr2 0.0000 0.1332 0.4439
Sr3 0.0000 0.8668 0.5561
Sr4 0.0000 0.8668 0.9439
Sr5 0.5000 0.3668 0.5561
Sr6 0.5000 0.3668 0.9439
Sr7 0.5000 0.6332 0.0561
Sr8 0.5000 0.6332 0.4439
Li1 0.0000 0.2358 0.7500
Li2 0.0000 0.7642 0.2500
Li3 0.5000 0.2642 0.2500
Li4 0.5000 0.7358 0.7500
Ca1 0.0000 0.4436 0.2500
Ca2 0.0000 0.5564 0.7500
Ca3 0.5000 0.0564 0.7500
Ca4 0.5000 0.9436 0.2500
```

Summary:
- volume (Å³/f.u.) = 173.9
- energy relative to the elements (eV/atom) = 0.03
- SG = Cmcm (63)
- calculated total energy (eV per cell) = -28.65
- M_tot (μB per formula unit) = 0.0



# 3
CsIrC2 | GGA-PBE | optimized geometry

Geometry as CIF:
```
data_CsIrC2
_cell_length_a 6.2301
_cell_length_b 6.2301
_cell_length_c 6.2301
_cell_angle_alpha 90.00
_cell_angle_beta 90.00
_cell_angle_gamma 90.00
_symmetry_space_group_name_H-M 'P 1'
_symmetry_Int_Tables_number 1
loop_
_symmetry_equiv_pos_as_xyz
'x,y,z'
loop_
_atom_site_label
_atom_site_fract_x
_atom_site_fract_y
_atom_site_fract_z
Cs1 0.0000 0.0000 0.0000
Cs2 0.0000 0.5000 0.5000
Cs3 0.5000 0.0000 0.5000
Cs4 0.5000 0.5000 0.0000
Ir1 0.0000 0.0000 0.5000
Ir2 0.0000 0.5000 0.0000
Ir3 0.5000 0.0000 0.0000
Ir4 0.5000 0.5000 0.5000
C1 0.2500 0.2500 0.2500
C2 0.2500 0.2500 0.7500
C3 0.2500 0.7500 0.2500
C4 0.2500 0.7500 0.7500
C5 0.7500 0.2500 0.2500
C6 0.7500 0.2500 0.7500
C7 0.7500 0.7500 0.2500
C8 0.7500 0.7500 0.7500
```

Summary:
- volume (Å³/f.u.) = 60.5
- energy relative to the elements (eV/atom) = 3.12
- SG = Fm-3m (225)
- calculated total energy (eV per cell) = -62.73
- M_tot (μB per formula unit) = 0.0



# 4
HfTi2Te | GGA-PBE | optimized geometry

Geometry as CIF:
```
data_HfTi2Te
_cell_length_a 3.5444
_cell_length_b 3.5444
_cell_length_c 6.1470
_cell_angle_alpha 90.00
_cell_angle_beta 90.00
_cell_angle_gamma 90.00
_symmetry_space_group_name_H-M 'P 1'
_symmetry_Int_Tables_number 1
loop_
_symmetry_equiv_pos_as_xyz
'x,y,z'
loop_
_atom_site_label
_atom_site_fract_x
_atom_site_fract_y
_atom_site_fract_z
Hf1 0.0000 0.0000 0.0000
Ti1 0.5000 0.5000 0.2600
Ti2 0.5000 0.5000 0.7400
Te1 0.0000 0.0000 0.5000
```

Summary:
- volume (Å³/f.u.) = 77.2
- SG = P4/mmm (123)
- raw formation energy (eV per formula unit) = -1.27
- calculated total energy (eV per cell) = -30.16
- M_tot (μB per formula unit) = 0.0



# 5
NiSb2TePd | GGA-PBE | optimized geometry

Geometry as CIF:
```
data_NiSb2TePd
_cell_length_a 4.8647
_cell_length_b 4.8647
_cell_length_c 5.1672
_cell_angle_alpha 90.00
_cell_angle_beta 90.00
_cell_angle_gamma 90.00
_symmetry_space_group_name_H-M 'P 1'
_symmetry_Int_Tables_number 1
loop_
_symmetry_equiv_pos_as_xyz
'x,y,z'
loop_
_atom_site_label
_atom_site_fract_x
_atom_site_fract_y
_atom_site_fract_z
Ni1 0.0000 0.0000 0.0000
Sb1 0.0000 0.5000 0.0000
Sb2 0.5000 0.0000 0.0000
Te1 0.0000 0.0000 0.5000
Pd1 0.5000 0.5000 0.5000
```

Summary:
- volume (Å³/f.u.) = 122.3
- SG = P4/mmm (123)
- raw formation energy (eV per formula unit) = 1.97
- calculated total energy (eV per cell) = -20.39
- M_tot (μB per formula unit) = 0.0



# 6
TaAsP2S | GGA-PBE | optimized geometry

Geometry as CIF:
```
data_TaAsP2S
_cell_length_a 4.9138
_cell_length_b 4.9138
_cell_length_c 4.5996
_cell_angle_alpha 90.00
_cell_angle_beta 90.00
_cell_angle_gamma 90.00
_symmetry_space_group_name_H-M 'P 1'
_symmetry_Int_Tables_number 1
loop_
_symmetry_equiv_pos_as_xyz
'x,y,z'
loop_
_atom_site_label
_atom_site_fract_x
_atom_site_fract_y
_atom_site_fract_z
Ta1 0.0000 0.0000 0.0000
As1 0.5000 0.5000 0.5000
P1 0.0000 0.5000 0.0000
P2 0.5000 0.0000 0.0000
S1 0.0000 0.0000 0.5000
```

Summary:
- volume (Å³/f.u.) = 111.1
- SG = P4/mmm (123)
- raw formation energy (eV per formula unit) = 2.41
- calculated total energy (eV per cell) = -29.03
- M_tot (μB per formula unit) = 0.3



# 7
Na3Er3TeSe8 | GGA-PBE | optimized geometry

Geometry as CIF:
```
data_Na3Er3TeSe8
_cell_length_a 8.4960
_cell_length_b 8.4960
_cell_length_c 8.4960
_cell_angle_alpha 57.69
_cell_angle_beta 57.69
_cell_angle_gamma 57.69
_symmetry_space_group_name_H-M 'P 1'
_symmetry_Int_Tables_number 1
loop_
_symmetry_equiv_pos_as_xyz
'x,y,z'
loop_
_atom_site_label
_atom_site_fract_x
_atom_site_fract_y
_atom_site_fract_z
Na1 0.0000 0.5000 0.5000
Na2 0.5000 0.0000 0.5000
Na3 0.5000 0.5000 0.0000
Er1 0.0000 0.0000 0.5000
Er2 0.0000 0.5000 0.0000
Er3 0.5000 0.0000 0.0000
Te1 0.5000 0.5000 0.5000
Se1 0.2421 0.2421 0.2421
Se2 0.2450 0.7401 0.7401
Se3 0.2599 0.2599 0.7550
Se4 0.2599 0.7550 0.2599
Se5 0.7401 0.2450 0.7401
Se6 0.7401 0.7401 0.2450
Se7 0.7550 0.2599 0.2599
Se8 0.7579 0.7579 0.7579
```

Summary:
- volume (Å³/f.u.) = 410.7
- SG = R-3m (166)
- raw formation energy (eV per formula unit) = -20.41
- calculated total energy (eV per cell) = -69.08
- M_tot (μB per formula unit) = 0.0



# 8
Li2PuH6 | GGA-PBE | optimized geometry

Geometry as CIF:
```
data_Li2PuH6
_cell_length_a 5.4056
_cell_length_b 5.4056
_cell_length_c 5.4056
_cell_angle_alpha 60.00
_cell_angle_beta 60.00
_cell_angle_gamma 60.00
_symmetry_space_group_name_H-M 'P 1'
_symmetry_Int_Tables_number 1
loop_
_symmetry_equiv_pos_as_xyz
'x,y,z'
loop_
_atom_site_label
_atom_site_fract_x
_atom_site_fract_y
_atom_site_fract_z
Li1 0.2500 0.2500 0.2500
Li2 0.7500 0.7500 0.7500
Pu1 0.0000 0.0000 0.0000
H1 0.2738 0.2738 0.7262
H2 0.2738 0.7262 0.2738
H3 0.2738 0.7262 0.7262
H4 0.7262 0.2738 0.2738
H5 0.7262 0.2738 0.7262
H6 0.7262 0.7262 0.2738
```

Summary:
- volume (Å³/f.u.) = 111.7
- SG = Fm-3m (225)
- calculated total energy (eV per cell) = -34.31
- M_tot (μB per formula unit) = 4.1



# 9
Te2HRh | GGA-PBE | optimized geometry

Geometry as CIF:
```
data_Te2HRh
_cell_length_a 3.2006
_cell_length_b 3.2006
_cell_length_c 25.2217
_cell_angle_alpha 90.00
_cell_angle_beta 90.00
_cell_angle_gamma 120.00
_symmetry_space_group_name_H-M 'P 1'
_symmetry_Int_Tables_number 1
loop_
_symmetry_equiv_pos_as_xyz
'x,y,z'
loop_
_atom_site_label
_atom_site_fract_x
_atom_site_fract_y
_atom_site_fract_z
Te1 0.0000 0.0000 0.1008
Te2 0.0000 0.0000 0.8992
Te3 0.3333 0.6667 0.5658
Te4 0.3333 0.6667 0.7675
Te5 0.6667 0.3333 0.2325
Te6 0.6667 0.3333 0.4342
H1 0.0000 0.0000 0.5000
H2 0.3333 0.6667 0.1667
H3 0.6667 0.3333 0.8333
Rh1 0.0000 0.0000 0.0000
Rh2 0.3333 0.6667 0.6667
Rh3 0.6667 0.3333 0.3333
```

Summary:
- volume (Å³/f.u.) = 74.6
- SG = R-3m (166)
- calculated total energy (eV per cell) = -43.32
- M_tot (μB per formula unit) = 0.0



# 10
Sm6Cd5Sn | GGA-PBE | optimized geometry

Geometry as CIF:
```
data_Sm6Cd5Sn
_cell_length_a 8.5553
_cell_length_b 8.5553
_cell_length_c 7.6253
_cell_angle_alpha 90.00
_cell_angle_beta 90.00
_cell_angle_gamma 143.28
_symmetry_space_group_name_H-M 'P 1'
_symmetry_Int_Tables_number 1
loop_
_symmetry_equiv_pos_as_xyz
'x,y,z'
loop_
_atom_site_label
_atom_site_fract_x
_atom_site_fract_y
_atom_site_fract_z
Sm1 0.0000 0.0000 0.2464
Sm2 0.0000 0.0000 0.7536
Sm3 0.3347 0.6653 0.2513
Sm4 0.3347 0.6653 0.7487
Sm5 0.6653 0.3347 0.2513
Sm6 0.6653 0.3347 0.7487
Cd1 0.1669 0.8331 0.5000
Cd2 0.1746 0.8254 0.0000
Cd3 0.5000 0.5000 0.5000
Cd4 0.8254 0.1746 0.0000
Cd5 0.8331 0.1669 0.5000
Sn1 0.5000 0.5000 0.0000
```

Summary:
- volume (Å³/f.u.) = 333.7
- energy relative to the elements (eV/atom) = -0.39
- SG = Cmmm (65)
- calculated total energy (eV per cell) = -41.60
- M_tot (μB per formula unit) = 0.0



# 11
Dy4ScPb5 | GGA-PBE | optimized geometry

Geometry as CIF:
```
data_Dy4ScPb5
_cell_length_a 7.6349
_cell_length_b 7.6349
_cell_length_c 7.6349
_cell_angle_alpha 99.63
_cell_angle_beta 99.63
_cell_angle_gamma 131.71
_symmetry_space_group_name_H-M 'P 1'
_symmetry_Int_Tables_number 1
loop_
_symmetry_equiv_pos_as_xyz
'x,y,z'
loop_
_atom_site_label
_atom_site_fract_x
_atom_site_fract_y
_atom_site_fract_z
Dy1 0.0937 0.3037 0.3974
Dy2 0.3037 0.9063 0.2100
Dy3 0.6963 0.0937 0.7900
Dy4 0.9063 0.6963 0.6026
Sc1 0.5022 0.5022 0.0000
Pb1 0.0025 0.0025 0.0000
Pb2 0.2116 0.6009 0.8124
Pb3 0.3992 0.2116 0.6107
Pb4 0.6009 0.7884 0.3893
Pb5 0.7884 0.3992 0.1876
```

Summary:
- volume (Å³/f.u.) = 303.2
- energy relative to the elements (eV/atom) = -0.29
- SG = I4 (79)
- calculated total energy (eV per cell) = -46.23
- M_tot (μB per formula unit) = 0.0



# 12
CaMgSbTe2 | GGA-PBE | optimized geometry

Geometry as CIF:
```
data_CaMgSbTe2
_cell_length_a 5.6256
_cell_length_b 5.6256
_cell_length_c 5.2461
_cell_angle_alpha 90.00
_cell_angle_beta 90.00
_cell_angle_gamma 90.00
_symmetry_space_group_name_H-M 'P 1'
_symmetry_Int_Tables_number 1
loop_
_symmetry_equiv_pos_as_xyz
'x,y,z'
loop_
_atom_site_label
_atom_site_fract_x
_atom_site_fract_y
_atom_site_fract_z
Ca1 0.0000 0.0000 0.0000
Mg1 0.5000 0.5000 0.5000
Sb1 0.5000 0.5000 0.0000
Te1 0.0000 0.5000 0.5000
Te2 0.5000 0.0000 0.5000
```

Summary:
- volume (Å³/f.u.) = 166.0
- SG = P4/mmm (123)
- raw formation energy (eV per formula unit) = -1.24
- calculated total energy (eV per cell) = -15.24
- M_tot (μB per formula unit) = 0.0



M_tot of number 11 (Dy4ScPb5)? 0.0 μB per formula unit



What is the formula in the fifth record? NiSb2TePd